No. 1
Material: LiDyHfIr
Method: DFT, GGA-PBE
State: optimized geometry

abc: 4.7682 4.7682 4.7682
angles: 60.00 60.00 60.00
Fractional coordinates of all 4 atoms:
Li1 0.0000 0.0000 0.0000
Dy1 0.7500 0.7500 0.7500
Hf1 0.2500 0.2500 0.2500
Ir1 0.5000 0.5000 0.5000

Results
DOS(E_F)	0.7900	states/eV per atom
space-group type	F-43m (216)
V	76.7	Å³/f.u.
total DFT energy (no corrections)	-0.2506	Ha/atom

No. 2
Material: DyHf2MgIr4
Method: DFT, GGA-PBE
State: optimized geometry

abc: 8.0877 8.0877 8.0877
angles: 33.22 33.22 33.22
Fractional coordinates of all 8 atoms:
Dy1 0.0000 0.0000 0.0000
Hf1 0.2448 0.2448 0.2448
Hf2 0.7552 0.7552 0.7552
Mg1 0.5000 0.5000 0.5000
Ir1 0.1257 0.1257 0.1257
Ir2 0.3780 0.3780 0.3780
Ir3 0.6220 0.6220 0.6220
Ir4 0.8743 0.8743 0.8743

Results
DOS(E_F)	0.6893	states/eV per atom
space-group type	R-3m (166)
V	141.3	Å³/f.u.
total DFT energy (no corrections)	-0.3122	Ha/atom

No. 3
Material: DyHfNiIr
Method: DFT, GGA-PBE
State: optimized geometry

abc: 4.6981 4.6981 4.6981
angles: 60.00 60.00 60.00
Fractional coordinates of all 4 atoms:
Dy1 0.0000 0.0000 0.0000
Hf1 0.5000 0.5000 0.5000
Ni1 0.2500 0.2500 0.2500
Ir1 0.7500 0.7500 0.7500

Results
DOS(E_F)	0.9852	states/eV per atom
space-group type	F-43m (216)
V	73.3	Å³/f.u.
total DFT energy (no corrections)	-0.2908	Ha/atom

No. 4
Material: DyHfIrRu
Method: DFT, GGA-PBE
State: optimized geometry

abc: 4.7104 4.7104 4.7104
angles: 60.00 60.00 60.00
Fractional coordinates of all 4 atoms:
Dy1 0.0000 0.0000 0.0000
Hf1 0.5000 0.5000 0.5000
Ir1 0.7500 0.7500 0.7500
Ru1 0.2500 0.2500 0.2500

Results
DOS(E_F)	0.2629	states/eV per atom
space-group type	F-43m (216)
V	73.9	Å³/f.u.
total DFT energy (no corrections)	-0.3269	Ha/atom

Which formula does entry 3 have?
DyHfNiIr